[1]
First-principles (GGA-PBE) data for a relaxed structure of CuTe2P, as listed in Alexandria via LeMat-Bulk.

The structure in extended XYZ format:
```
4
Lattice="-1.8819 3.7192 4.3997 1.8819 -3.7192 4.3997 1.8819 3.7192 -4.3997" Properties=species:S:1:pos:R:3 pbc="T T T"
Cu 0.0000 0.0000 0.0000
Te 1.8819 1.8279 0.0000
Te 0.0000 1.8913 4.3997
P 0.0000 3.7192 0.0000
```

Total energy, eV per atom: -3.53
ρ, g/cm³: 4.71
Space group: No. 71
Total magnetization, μB/cell: 0.00

=====

[2]
First-principles (GGA-PBE) data for a relaxed structure of Eu2Zn3Ge, as listed in Alexandria via LeMat-Bulk.

The structure in extended XYZ format:
```
12
Lattice="4.5774 0.0000 0.0000 0.0000 7.7742 0.0000 0.0000 0.0000 7.4587" Properties=species:S:1:pos:R:3 pbc="T T T"
Eu 0.0000 0.2774 0.0000
Eu 0.0000 7.4969 3.7294
Eu 2.2887 3.5571 7.4386
Eu 2.2887 4.2171 3.7092
Zn 0.0000 2.5702 5.1188
Zn 0.0000 5.2040 1.3894
Zn 2.2887 1.2561 5.2426
Zn 2.2887 1.2801 2.2452
Zn 2.2887 6.4941 5.9745
Zn 2.2887 6.5181 1.5132
Ge 0.0000 2.6519 2.2281
Ge 0.0000 5.1223 5.9575
```

Total energy, eV per atom: -5.26
Calculated formation energy, eV/atom: -0.4248
ρ, g/cm³: 7.17
Space group: No. 26
Total magnetization, μB/cell: 0.10

=====

[3]
First-principles (GGA-PBE) data for a relaxed structure of LiCaPt2, as listed in Alexandria via LeMat-Bulk.

The structure in extended XYZ format:
```
4
Lattice="0.0000 3.2860 3.2860 3.2860 0.0000 3.2860 3.2860 3.2860 0.0000" Properties=species:S:1:pos:R:3 pbc="T T T"
Li 0.0000 0.0000 0.0000
Ca 4.9290 4.9290 4.9290
Pt 1.6430 1.6430 1.6430
Pt 3.2860 3.2860 3.2860
```

Total energy, eV per atom: -4.57
Calculated formation energy, eV/atom: -0.5742
ρ, g/cm³: 10.23
Space group: No. 216
Total magnetization, μB/cell: 0.00

=====

[4]
First-principles (GGA-PBE) data for a relaxed structure of Tm2AuSe, as listed in Alexandria via LeMat-Bulk.

The structure in extended XYZ format:
```
4
Lattice="1.9607 1.1320 7.3057 -1.9607 1.1320 7.3057 0.0000 -2.2640 7.3057" Properties=species:S:1:pos:R:3 pbc="T T T"
Tm 0.0000 0.0000 5.4878
Tm 0.0000 0.0000 16.4293
Au 0.0000 0.0000 0.0000
Se 0.0000 0.0000 10.9585
```

Total energy, eV per atom: -5.17
ρ, g/cm³: 10.48
Space group: No. 166
Total magnetization, μB/cell: 0.00

=====

[5]
First-principles (GGA-PBE) data for a relaxed structure of Si2Se, as listed in Alexandria via LeMat-Bulk.

The structure in extended XYZ format:
```
3
Lattice="4.7328 0.0000 0.0000 -2.3664 4.0987 0.0000 0.0000 0.0000 2.6423" Properties=species:S:1:pos:R:3 pbc="T T T"
Si 0.0000 2.7325 1.3140
Si 2.3664 1.3662 1.3283
Se 0.0000 0.0000 0.0000
```

Total energy, eV per atom: -4.20
ρ, g/cm³: 4.38
Space group: No. 164
Total magnetization, μB/cell: 0.00

=====

[6]
First-principles (GGA-PBE) data for a relaxed structure of TbCd2Au, as listed in Alexandria via LeMat-Bulk.

The structure in extended XYZ format:
```
4
Lattice="4.3228 0.0000 0.0000 0.0000 4.3228 0.0000 0.0000 0.0000 4.9429" Properties=species:S:1:pos:R:3 pbc="T T T"
Tb 0.0000 0.0000 0.0000
Cd 0.0000 2.1614 2.4715
Cd 2.1614 0.0000 2.4715
Au 2.1614 2.1614 0.0000
```

Total energy, eV per atom: -2.83
Calculated formation energy, eV/atom: -0.3947
ρ, g/cm³: 10.44
Space group: No. 123
Total magnetization, μB/cell: 0.00

=====

[7]
First-principles (GGA-PBE) data for a relaxed structure of YPuCd6, as listed in Alexandria via LeMat-Bulk.

The structure in extended XYZ format:
```
8
Lattice="4.9566 0.0000 0.0000 0.0000 3.5613 5.5355 0.0000 -3.5613 5.5355" Properties=species:S:1:pos:R:3 pbc="T T T"
Y 0.0000 0.0000 0.0000
Pu 2.4783 0.0000 8.0454
Cd 0.0000 -1.5507 2.9739
Cd 0.0000 1.5507 2.9739
Cd 0.0000 0.0000 5.9474
Cd 2.4783 0.0000 2.1009
Cd 2.4783 -1.5438 5.0634
Cd 2.4783 1.5438 5.0634
```

Total energy, eV per atom: -3.44
Calculated formation energy, eV/atom: -0.1559
ρ, g/cm³: 8.56
Space group: No. 38
Total magnetization, μB/cell: 5.94

=====

[8]
First-principles (GGA-PBE) data for a relaxed structure of Tl2GeCl, as listed in Alexandria via LeMat-Bulk.

The structure in extended XYZ format:
```
8
Lattice="-3.2236 3.2236 7.3438 3.2236 -3.2236 7.3438 3.2236 3.2236 -7.3438" Properties=species:S:1:pos:R:3 pbc="T T T"
Tl 4.8354 1.3870 -1.8359
Tl 1.3870 1.6118 1.8359
Tl -1.6118 1.8366 5.5078
Tl 1.8366 1.6118 9.1797
Ge 0.0000 0.0000 0.0000
Ge 0.0000 3.2236 3.6719
Cl 3.2236 0.0000 3.6719
Cl 0.0000 0.0000 7.3438
```

Total energy, eV per atom: -2.88
ρ, g/cm³: 5.62
Space group: No. 122
Total magnetization, μB/cell: 0.00